No. 1
ThNiH6Rh after structural relaxation, computed with PBE-GGA.

Summary:
raw total energy	-4.91	eV per atom
magnetic moment	0.00	μB per formula unit

POSCAR file:
```
ThNiH6Rh
1.0
4.602 0.000 0.000
2.301 3.985 0.000
0.000 0.000 4.222
Rh H Ni Th
1 6 1 1
direct
0.667 0.667 0.500
0.493 0.493 0.241
0.493 0.014 0.759
0.014 0.493 0.241
0.493 0.014 0.241
0.014 0.493 0.759
0.493 0.493 0.759
0.333 0.333 0.500
0.000 0.000 0.000
```

No. 2
DyErPd3 after structural relaxation, computed with PBE-GGA.

Summary:
raw total energy	-5.87	eV per atom
magnetic moment	0.00	μB per formula unit
formation energy from the elements	-0.9232	eV per atom

POSCAR file:
```
DyErPd3
1.0
-2.849 3.061 -3.795
-6.420 -2.082 5.124
5.784 8.821 0.766
Dy Pd Er
4 12 4
direct
0.794 0.662 0.446
0.206 0.338 0.554
0.206 0.838 0.054
0.794 0.162 0.946
0.000 0.750 0.750
0.500 0.750 0.750
0.838 0.102 0.633
0.838 0.602 0.133
0.275 0.599 0.467
0.275 0.099 0.967
0.000 0.250 0.250
0.500 0.250 0.250
0.162 0.898 0.367
0.162 0.398 0.867
0.725 0.401 0.533
0.725 0.901 0.033
0.678 0.492 0.836
0.322 0.508 0.164
0.322 0.008 0.664
0.678 0.992 0.336
```

No. 3
LiTm2Tl after structural relaxation, computed with PBE-GGA.

Summary:
raw total energy	-3.31	eV per atom
magnetic moment	0.00	μB per formula unit
formation energy from the elements	-0.0042	eV per atom

POSCAR file:
```
LiTm2Tl
1.0
-0.387 3.399 0.622
-5.873 -0.947 1.524
7.591 -1.460 2.989
Li Tl Tm
1 1 2
direct
0.498 0.009 0.000
0.501 0.509 0.000
0.777 0.816 0.552
0.224 0.202 0.448
```

Please write out number 3 again, unchanged.
LiTm2Tl after structural relaxation, computed with PBE-GGA.

Summary:
raw total energy	-3.31	eV per atom
magnetic moment	0.00	μB per formula unit
formation energy from the elements	-0.0042	eV per atom

POSCAR file:
```
LiTm2Tl
1.0
-0.387 3.399 0.622
-5.873 -0.947 1.524
7.591 -1.460 2.989
Li Tl Tm
1 1 2
direct
0.498 0.009 0.000
0.501 0.509 0.000
0.777 0.816 0.552
0.224 0.202 0.448
```